# PBE LaPrPuMg, optimized geometry
data_LaPrPuMg
_chemical_formula_sum 'La4 Pr4 Pu4 Mg4'
_symmetry_space_group_name_H-M 'F -4 3 m'
_symmetry_Int_Tables_number 216
_symmetry_space_group_name_Hall 'F -4 2 3'
_cell_length_a 7.9499
_cell_length_b 7.9499
_cell_length_c 7.9499
_cell_angle_alpha 90.00
_cell_angle_beta 90.00
_cell_angle_gamma 90.00
loop_
_atom_site_label
_atom_site_fract_x
_atom_site_fract_y
_atom_site_fract_z
La1 0.0000 0.0000 0.0000
Pr1 0.0000 0.0000 0.5000
Pu1 0.2500 0.2500 0.7500
Mg1 0.2500 0.2500 0.2500
# calculated total energy = -6.274 eV per atom
# energy of formation = 0.1341 eV per atom
# density of states at the Fermi level = 66.829 states/eV/cell



# PBE LaPrMgRh, optimized geometry
data_LaPrMgRh
_chemical_formula_sum 'La4 Pr4 Mg4 Rh4'
_symmetry_space_group_name_H-M 'F -4 3 m'
_symmetry_Int_Tables_number 216
_symmetry_space_group_name_Hall 'F -4 2 3'
_cell_length_a 7.4650
_cell_length_b 7.4650
_cell_length_c 7.4650
_cell_angle_alpha 90.00
_cell_angle_beta 90.00
_cell_angle_gamma 90.00
loop_
_atom_site_label
_atom_site_fract_x
_atom_site_fract_y
_atom_site_fract_z
La1 0.0000 0.0000 0.0000
Pr1 0.0000 0.0000 0.5000
Mg1 0.2500 0.2500 0.2500
Rh1 0.2500 0.2500 0.7500
# calculated total energy = -4.944 eV per atom
# energy of formation = -0.2811 eV per atom
# density of states at the Fermi level = 13.608 states/eV/cell



# PBE LaPrMgRu, optimized geometry
data_LaPrMgRu
_chemical_formula_sum 'La4 Pr4 Mg4 Ru4'
_symmetry_space_group_name_H-M 'F -4 3 m'
_symmetry_Int_Tables_number 216
_symmetry_space_group_name_Hall 'F -4 2 3'
_cell_length_a 7.4200
_cell_length_b 7.4200
_cell_length_c 7.4200
_cell_angle_alpha 90.00
_cell_angle_beta 90.00
_cell_angle_gamma 90.00
loop_
_atom_site_label
_atom_site_fract_x
_atom_site_fract_y
_atom_site_fract_z
La1 0.0000 0.0000 0.0000
Pr1 0.0000 0.0000 0.5000
Mg1 0.2500 0.2500 0.2500
Ru1 0.2500 0.2500 0.7500
# calculated total energy = -5.185 eV per atom
# energy of formation = -0.0402 eV per atom
# density of states at the Fermi level = 20.893 states/eV/cell